Material: Nd2U2Se5
Method: DFT, PBE-GGA
State: optimized geometry

DFT total energy in eV/atom: -6.7964
Space-group type: C2/m
D(E_F) in states/eV per cell: 17.466
Total magnetic moment in μB/atom: 0.67
Formation energy from raw total energies in eV per atom: -1.293

abc: 7.6353 7.6353 8.5303
angles: 123.06 123.06 40.62
With the nearest neighbours (Å) after each atom.
Atoms (fractional coordinates):
Nd1 0.1148 0.1148 0.2617  7 Se 2.95-3.23
Nd2 0.8852 0.8852 0.7383  7 Se 2.95-3.23
U1 0.3887 0.3887 0.1918  6 Se 2.80-2.90
U2 0.6113 0.6113 0.8082  6 Se 2.80-2.90
Se1 0.1398 0.1398 0.9335  3 U 2.80-2.90, 2 Nd 3.00-3.02
Se2 0.3681 0.3681 0.5095  2 U 2.88-2.89, 3 Nd 2.95-3.22
Se3 0.5000 0.5000 0.0000  2 U 2.87
Se4 0.6319 0.6319 0.4905  2 U 2.88-2.89, 3 Nd 2.95-3.22
Se5 0.8602 0.8602 0.0665  3 U 2.80-2.90, 2 Nd 3.00-3.02